Computed, not measured: a geometry-optimized PmHI4 structure at the GGA-PBE level of DFT.

As for the calculated total energy: -3.27 eV per atom. The calculation puts the size of the total moment at 0.00 μB/cell. The density of states at the Fermi level is 0.000 states/eV per atom. As for the space group: C2/c (15). The value obtained for the calculated volume is 45.2 Å³/atom.

a b c (Å): 7.5352 10.1643 9.1392
angles (deg): 115.06 103.50 108.76
Positions (direct):
I 0.7327 0.6914 0.5026
I 0.8923 0.3280 0.0698
H 0.0143 0.2643 0.5286
H 0.9857 0.7357 0.4714
Pm 0.6614 0.4114 0.8227
Pm 0.3386 0.5886 0.1773
I 0.1077 0.6720 0.9302
I 0.7300 0.1887 0.4974
I 0.3225 0.2582 0.9302
I 0.6775 0.7418 0.0698
I 0.2673 0.3086 0.4974
I 0.2700 0.8113 0.5026

---

Computed, not measured: a geometry-optimized Pm4H2I5 structure at the GGA-PBE level of DFT.

As for the calculated total energy: -4.07 eV per atom. The calculation puts the size of the total moment at 0.00 μB/cell. The density of states at the Fermi level is 0.569 states/eV per atom. As for the space group: C2/m (12). The value obtained for the calculated volume is 31.7 Å³/atom.

a b c (Å): 4.1544 9.2108 9.6105
angles (deg): 103.25 102.48 90.00
Positions (direct):
I 0.8307 0.1727 0.6614
Pm 0.0011 0.2771 0.0022
H 0.4987 0.6210 0.9975
Pm 0.6220 0.5607 0.2440
I 0.5000 0.0000 0.0000
I 0.1737 0.3410 0.3473
I 0.8263 0.6590 0.6527
H 0.5013 0.3790 0.0025
I 0.1693 0.8273 0.3386
Pm 0.3780 0.4393 0.7560
Pm 0.9989 0.7229 0.9978